1.
The following is a DFT calculation (PBE) of a relaxed LaPm5Nd6 crystal.

**Raw total energy**: -4.76 eV/atom

```
data_LaPm5Nd6
_cell_length_a 5.200
_cell_length_b 9.708
_cell_length_c 9.721
_cell_angle_alpha 64.75
_cell_angle_beta 74.58
_cell_angle_gamma 74.52
_symmetry_space_group_name_H-M 'P -1'
_symmetry_Int_Tables_number 2
_symmetry_space_group_name_Hall '-P 1'
loop_
_atom_site_label
_atom_site_type_symbol
_atom_site_fract_x
_atom_site_fract_y
_atom_site_fract_z
La1 La 0.000 0.000 0.000
Pm1 Pm 0.000 0.500 0.500
Pm2 Pm 0.333 0.167 0.167
Pm3 Pm 0.333 0.667 0.667
Nd1 Nd 0.167 0.084 0.582
Nd2 Nd 0.167 0.582 0.084
Nd3 Nd 0.500 0.252 0.748
```

=====

2.
The following is a DFT calculation (PBE) of a relaxed LaPm8Nd6 crystal.

**Raw total energy**: -4.63 eV/atom

```
data_LaPm8Nd6
_cell_length_a 10.0656
_cell_length_b 10.0656
_cell_length_c 6.0508
_cell_angle_alpha 90.00
_cell_angle_beta 90.00
_cell_angle_gamma 120.00
_symmetry_space_group_name_H-M 'P -3'
_symmetry_Int_Tables_number 147
_symmetry_space_group_name_Hall '-P 3'
loop_
_atom_site_label
_atom_site_type_symbol
_atom_site_fract_x
_atom_site_fract_y
_atom_site_fract_z
La1 La 0.0000 0.0000 0.0000
Pm1 Pm 0.0523 0.7811 0.2767
Pm2 Pm 0.3333 0.6667 0.2800
Nd1 Nd 0.0908 0.6222 0.7588
```

=====

3.
The following is a DFT calculation (PBE) of a relaxed LaPm4Nd10 crystal.

**Raw total energy**: -4.37 eV/atom

```
data_LaPm4Nd10
_cell_length_a 10.091
_cell_length_b 10.091
_cell_length_c 10.987
_cell_angle_alpha 90.00
_cell_angle_beta 90.00
_cell_angle_gamma 90.00
_symmetry_space_group_name_H-M 'I 4/m'
_symmetry_Int_Tables_number 87
_symmetry_space_group_name_Hall '-I 4'
loop_
_atom_site_label
_atom_site_type_symbol
_atom_site_fract_x
_atom_site_fract_y
_atom_site_fract_z
La1 La 0.000 0.000 0.000
Pm1 Pm 0.057 0.720 0.500
Nd1 Nd 0.000 0.500 0.250
Nd2 Nd 0.119 0.777 0.170
```

=====

4.
The following is a DFT calculation (PBE) of a relaxed La8PmNd6 crystal.

**Raw total energy**: -4.83 eV/atom

```
data_La8PmNd6
_cell_length_a 6.4442
_cell_length_b 6.4442
_cell_length_c 45.3760
_cell_angle_alpha 90.00
_cell_angle_beta 90.00
_cell_angle_gamma 120.00
_symmetry_space_group_name_H-M 'R -3'
_symmetry_Int_Tables_number 148
_symmetry_space_group_name_Hall '-R 3'
loop_
_atom_site_label
_atom_site_type_symbol
_atom_site_fract_x
_atom_site_fract_y
_atom_site_fract_z
La1 La 0.0000 0.0000 0.1667
La2 La 0.9998 0.3331 0.2994
Pm1 Pm 0.0000 0.0000 0.5000
Nd1 Nd 0.0000 0.3326 0.4340
```

=====

5.
The following is a DFT calculation (PBE) of a relaxed LaPm5Nd6 crystal.

**Raw total energy**: -4.76 eV/atom

```
data_LaPm5Nd6
_cell_length_a 6.374
_cell_length_b 11.041
_cell_length_c 12.198
_cell_angle_alpha 90.00
_cell_angle_beta 100.11
_cell_angle_gamma 90.00
_symmetry_space_group_name_H-M 'C 1 2/m 1'
_symmetry_Int_Tables_number 12
_symmetry_space_group_name_Hall '-C 2y'
loop_
_atom_site_label
_atom_site_type_symbol
_atom_site_fract_x
_atom_site_fract_y
_atom_site_fract_z
La1 La 0.000 0.000 0.000
Pm1 Pm 0.000 0.167 0.500
Pm2 Pm 0.000 0.334 0.000
Pm3 Pm 0.000 0.500 0.500
Nd1 Nd 0.249 0.333 0.749
Nd2 Nd 0.250 0.000 0.749
```

=====

6.
The following is a DFT calculation (PBE) of a relaxed La2Pm5Nd3 crystal.

**Raw total energy**: -4.45 eV/atom

```
data_La2Pm5Nd3
_cell_length_a 9.636
_cell_length_b 13.852
_cell_length_c 11.164
_cell_angle_alpha 90.00
_cell_angle_beta 90.00
_cell_angle_gamma 90.00
_symmetry_space_group_name_H-M 'I b a m'
_symmetry_Int_Tables_number 72
_symmetry_space_group_name_Hall '-I 2 2c'
loop_
_atom_site_label
_atom_site_type_symbol
_atom_site_fract_x
_atom_site_fract_y
_atom_site_fract_z
La1 La 0.103 0.123 0.000
Pm1 Pm 0.000 0.250 0.250
Pm2 Pm 0.000 0.500 0.250
Pm3 Pm 0.091 0.374 0.500
Nd1 Nd 0.000 0.000 0.250
Nd2 Nd 0.249 0.375 0.000
```

=====

| no. | formation energy from the elements (eV per atom) | calculated volume (Å³/cell) |
| --- | --- | --- |
| 1 | 0.014 | 421.2 |
| 2 | 0.138 | 530.9 |
| 3 | 0.402 | 1118.8 |
| 4 | 0.018 | 1631.9 |
| 5 | 0.014 | 845.1 |
| 6 | 0.339 | 1490.2 |